PBE-GGA AcHoCo4, relaxed; space-group type = F-43m; formation energy = 0.010 eV/atom; DFT total energy = -37.05 eV/cell
1.0
-0.829 -4.673 2.119
3.799 -2.366 2.642
-0.340 -0.489 5.164
Co Ho Ac
4 1 1
Cartesian
-0.269 -3.520 4.881
2.065 -2.357 5.145
1.647 -4.714 6.214
1.818 -4.467 3.610
0.000 0.000 0.000
0.658 -1.882 2.481